Below is K2GaB after structural relaxation, with properties calculated at the GGA-PBE level.

Calculated values
DFT total energy in eV/atom: -2.64
Symmetry: I-42d
Calculated formation energy in kJ/mol of formula units: 128
E above lowest polymorph in meV per atom: 0

abc: 9.016 9.016 9.016
angles: 92.69 92.69 154.99
Atoms (fractional coordinates):
K: 0.375 0.156 0.281
K: 0.844 0.125 0.219
K: 0.875 0.094 0.719
K: 0.906 0.625 0.781
Ga: 0.250 0.750 0.500
Ga: 0.500 0.500 0.000
B: 0.000 0.000 0.000
B: 0.750 0.250 0.500

Below is HgRhPb2 after structural relaxation, with properties calculated at the GGA-PBE level.

Calculated values
DFT total energy in eV/atom: -3.73
Symmetry: R-3m
Calculated formation energy in kJ/mol of formula units: 13

abc: 9.346 9.346 9.346
angles: 22.05 22.05 22.05
Atoms (fractional coordinates):
Hg: 0.000 0.000 0.000
Rh: 0.500 0.500 0.500
Pb: 0.236 0.236 0.236
Pb: 0.764 0.764 0.764

It is found that the total moment values, taken in the order of the records, are 0.0; 0.0 μB per formula unit.